VASP calculation (PBE) on a relaxed ZrInI crystal.

Calculated values
Formation energy from raw total energies   -112 kJ/mol of formula units
Energy above the most stable polymorph in this dataset   20 meV/atom
Calculated total energy   -56.00 eV/cell
N(E_F)   0.64 states/eV/cell

Lattice parameters (Å, degrees): 5.866 4.342 13.619 90.00 91.69 90.00
Space group Cm (No. 8)
Unique sites:
Zr 0.000 0.000 0.000 [2 per cell]
Zr 0.029 0.500 0.421 [2 per cell]
In 0.019 0.500 0.143 [2 per cell]
In 0.029 0.000 0.279 [2 per cell]
I 0.124 0.500 0.857 [2 per cell]
I 0.173 0.000 0.564 [2 per cell]